[1]
This record from Alexandria describes a relaxed structure of KInFe2. The functional is GGA-PBE.

Calculated values
* energy relative to the elements: 584 meV/atom

abc: 5.2854 5.2854 6.5025
angles: 104.34 104.34 32.84
Last column: nearest neighbours and their distance in Å.
Fractional positions:
K1 0.0000 0.0000 0.0000  2 K 2.99, 1 Fe 3.25
In1 0.8047 0.8047 0.4050  5 Fe 2.75-2.90, 2 In 2.99
Fe1 0.2004 0.2004 0.6821  2 Fe 2.28
Fe2 0.5413 0.5413 0.5030  2 Fe 2.28


[2]
This record from Alexandria describes a relaxed structure of MgRu2. The functional is GGA-PBE.

Calculated values
* energy relative to the elements: 38 meV/atom

abc: 5.1491 5.1491 6.6939
angles: 104.99 104.99 31.84
Last column: nearest neighbours and their distance in Å.
Fractional positions:
Mg1 0.0105 0.0105 0.2929  9 Ru 2.67-2.98, 3 Mg 2.82-2.84
Mg2 0.9895 0.9895 0.7071  9 Ru 2.67-2.98, 3 Mg 2.82-2.84
Ru1 0.2884 0.2884 0.3591  7 Ru 2.61-2.91, 3 Mg 2.67-2.75
Ru2 0.3496 0.3496 0.9573  8 Ru 2.61-2.91, 4 Mg 2.77-2.82
Ru3 0.6504 0.6504 0.0427  8 Ru 2.61-2.91, 4 Mg 2.77-2.82
Ru4 0.7116 0.7116 0.6409  7 Ru 2.61-2.91, 3 Mg 2.67-2.75


[3]
This record from Alexandria describes a relaxed structure of Ho2Al4AgAu3. The functional is GGA-PBE.

Calculated values
* energy relative to the elements: -621 meV/atom

abc: 4.3008 4.3008 10.6682
angles: 90.00 90.00 90.00
Last column: nearest neighbours and their distance in Å.
Fractional positions:
Ho1 0.0000 0.5000 0.2501  8 Al 3.28-3.43, 6 Au 3.28-3.43, 2 Ag 3.43
Ho2 0.5000 0.0000 0.7499  8 Al 3.28-3.43, 6 Au 3.28-3.43, 2 Ag 3.43
Al1 0.0000 0.0000 0.0000  4 Au 2.58
Al2 0.0000 0.5000 0.6350  3 Au 2.46-2.59, 2 Ag 2.59
Al3 0.5000 0.0000 0.3650  3 Au 2.46-2.59, 2 Ag 2.59
Al4 0.5000 0.5000 0.0000  4 Au 2.58
Ag1 0.0000 0.0000 0.5000  4 Al 2.59
Au1 0.0000 0.5000 0.8658  5 Al 2.46-2.58
Au2 0.5000 0.0000 0.1342  5 Al 2.46-2.58
Au3 0.5000 0.5000 0.5000  4 Al 2.59


[4]
This record from Alexandria describes a relaxed structure of CsTlGa2Ru. The functional is GGA-PBE.

Calculated values
* energy relative to the elements: -119 meV/atom

abc: 5.0443 5.0443 5.4347
angles: 90.00 90.00 90.00
Last column: nearest neighbours and their distance in Å.
Fractional positions:
Cs1 0.0000 0.0000 0.0000  4 Tl 3.57, 8 Ga 3.71
Tl1 0.5000 0.5000 0.0000  2 Ru 2.72
Ga1 0.0000 0.5000 0.5000  2 Ru 2.52
Ga2 0.5000 0.0000 0.5000  2 Ru 2.52
Ru1 0.5000 0.5000 0.5000  4 Ga 2.52, 2 Tl 2.72


[5]
This record from Alexandria describes a relaxed structure of CeSc2In4. The functional is GGA-PBE.

Calculated values
* energy relative to the elements: -260 meV/atom

abc: 4.9709 4.9709 7.5550
angles: 90.00 90.00 90.00
Last column: nearest neighbours and their distance in Å.
Fractional positions:
Ce1 0.0000 0.0000 0.0000  8 In 3.27, 4 Sc 3.51
Sc1 0.0000 0.0000 0.5000  8 In 2.98
Sc2 0.5000 0.5000 0.0000  8 In 3.27, 4 Ce 3.51
In1 0.0000 0.5000 0.2819  4 Sc 2.98-3.27, 2 Ce 3.27, 1 In 3.29
In2 0.0000 0.5000 0.7181  4 Sc 2.98-3.27, 2 Ce 3.27, 1 In 3.29
In3 0.5000 0.0000 0.2819  4 Sc 2.98-3.27, 2 Ce 3.27, 1 In 3.29
In4 0.5000 0.0000 0.7181  4 Sc 2.98-3.27, 2 Ce 3.27, 1 In 3.29


[6]
This record from Alexandria describes a relaxed structure of CaZn5. The functional is GGA-PBE.

Calculated values
* energy relative to the elements: -33 meV/atom

abc: 4.1583 8.5163 8.5163
angles: 22.19 90.00 90.00
Last column: nearest neighbours and their distance in Å.
Fractional positions:
Ca1 0.0000 0.0000 0.0000  8 Zn 3.07-3.30, 2 Ca 3.28
Zn1 0.0000 0.3289 0.3289  8 Zn 2.69-2.91
Zn2 0.0000 0.6852 0.6852  6 Zn 2.59-2.71
Zn3 0.5000 0.2209 0.2209  10 Zn 2.70-2.79
Zn4 0.5000 0.5926 0.5926  4 Zn 2.59-2.70
Zn5 0.5000 0.8562 0.8562  6 Zn 2.69-2.79


[7]
This record from Alexandria describes a relaxed structure of Tl2Ga2Ag. The functional is GGA-PBE.

Calculated values
* excess energy over the best structure of this formula in the dataset: 149 meV per atom
* energy relative to the elements: 226 meV/atom

abc: 8.0205 8.0205 3.9078
angles: 90.00 90.00 90.00
Last column: nearest neighbours and their distance in Å.
Fractional positions:
Tl1 0.1752 0.3248 0.0000  2 Ag 2.96, 6 Ga 2.98-3.13
Tl2 0.3248 0.8248 0.0000  2 Ag 2.96, 6 Ga 2.98-3.13
Tl3 0.6752 0.1752 0.0000  2 Ag 2.96, 6 Ga 2.98-3.13
Tl4 0.8248 0.6752 0.0000  2 Ag 2.96, 6 Ga 2.98-3.13
Ga1 0.1260 0.6260 0.5000  1 Ga 2.86, 6 Tl 2.98-3.13
Ga2 0.3740 0.1260 0.5000  1 Ga 2.86, 6 Tl 2.98-3.13
Ga3 0.6260 0.8740 0.5000  1 Ga 2.86, 6 Tl 2.98-3.13
Ga4 0.8740 0.3740 0.5000  1 Ga 2.86, 6 Tl 2.98-3.13
Ag1 0.0000 0.0000 0.0000  4 Tl 2.96
Ag2 0.5000 0.5000 0.0000  4 Tl 2.96


[8]
This record from Alexandria describes a relaxed structure of TaInAg3. The functional is GGA-PBE.

Calculated values
* excess energy over the best structure of this formula in the dataset: 0 meV per atom
* energy relative to the elements: 1298 meV/atom

abc: 5.2271 5.2271 5.2271
angles: 90.00 90.00 90.00
Last column: nearest neighbours and their distance in Å.
Fractional positions:
Ta1 0.0000 0.0000 0.0000  6 Ag 2.61
In1 0.5000 0.5000 0.5000  12 Ag 3.70
Ag1 0.0000 0.0000 0.5000  2 Ta 2.61
Ag2 0.0000 0.5000 0.0000  2 Ta 2.61
Ag3 0.5000 0.0000 0.0000  2 Ta 2.61


[9]
This record from Alexandria describes a relaxed structure of Mg2Zn7Cu3. The functional is GGA-PBE.

Calculated values
* energy relative to the elements: 121 meV/atom

abc: 9.3630 9.3630 9.3630
angles: 30.95 30.95 30.95
Last column: nearest neighbours and their distance in Å.
Fractional positions:
Mg1 0.1668 0.1668 0.1668  6 Zn 2.81-2.84, 3 Cu 2.88, 3 Mg 2.88
Mg2 0.8332 0.8332 0.8332  6 Zn 2.81-2.84, 3 Cu 2.88, 3 Mg 2.88
Zn1 0.0000 0.0000 0.0000  6 Zn 2.50
Zn2 0.0933 0.0933 0.5857  5 Zn 2.46-2.54
Zn3 0.0933 0.5857 0.0933  5 Zn 2.46-2.54
Zn4 0.4143 0.9067 0.9067  5 Zn 2.46-2.54
Zn5 0.5857 0.0933 0.0933  5 Zn 2.46-2.54
Zn6 0.9067 0.4143 0.9067  5 Zn 2.46-2.54
Zn7 0.9067 0.9067 0.4143  5 Zn 2.46-2.54
Cu1 0.3483 0.3483 0.3483  12 Zn 2.81-2.98, 3 Cu 2.99
Cu2 0.5000 0.5000 0.5000  6 Mg 2.88
Cu3 0.6517 0.6517 0.6517  12 Zn 2.81-2.98, 3 Cu 2.99


[10]
This record from Alexandria describes a relaxed structure of K2InGeBr5. The functional is GGA-PBE.

Calculated values
* ΔE_f (raw): -1.074 eV per atom

abc: 9.9303 9.9303 15.7259
angles: 90.00 90.00 154.65
Last column: nearest neighbours and their distance in Å.
Fractional positions:
K1 0.0678 0.9322 0.5000  6 Br 3.23-3.47
K2 0.1322 0.8678 0.1576  4 Br 3.32-3.46
K3 0.8678 0.1322 0.6576  4 Br 3.32-3.46
K4 0.9322 0.0678 0.0000  6 Br 3.23-3.47
In1 0.4401 0.5599 0.3050  5 Br 3.17-3.43
In2 0.5599 0.4401 0.8050  5 Br 3.17-3.43
Ge1 0.2464 0.7536 0.8984  6 Br 2.82-2.91
Ge2 0.7536 0.2464 0.3984  6 Br 2.82-2.91
Br1 0.1047 0.8953 0.9404  1 Ge 2.82
Br2 0.2375 0.7625 0.5193  2 Ge 2.91
Br3 0.2758 0.7242 0.2783  2 Ge 2.91, 1 In 3.21
Br4 0.3863 0.6137 0.8489  1 Ge 2.82
Br5 0.4933 0.5067 0.6207  1 In 3.17, 4 K 3.23-3.32
Br6 0.5067 0.4933 0.1207  1 In 3.17, 4 K 3.23-3.32
Br7 0.6137 0.3863 0.3489  1 Ge 2.82
Br8 0.7242 0.2758 0.7783  2 Ge 2.91, 1 In 3.21
Br9 0.7625 0.2375 0.0193  2 Ge 2.91
Br10 0.8953 0.1047 0.4404  1 Ge 2.82


[11]
This record from Alexandria describes a relaxed structure of NdThNp2Sb4. The functional is GGA-PBE.

Calculated values
* ΔE_f (raw): -0.623 eV per atom

abc: 7.7124 4.4553 7.7526
angles: 90.00 109.35 90.00
Last column: nearest neighbours and their distance in Å.
Fractional positions:
Nd1 0.0000 0.0000 0.0000  6 Sb 3.18-3.19
Th1 0.0000 0.5000 0.5000  6 Sb 3.18-3.19
Np1 0.5000 0.0000 0.5000  6 Sb 3.12-3.13
Np2 0.5000 0.5000 0.0000  6 Sb 3.12-3.13
Sb1 0.2571 0.0000 0.7525  3 Np 3.13, 1 Nd 3.18, 2 Th 3.19
Sb2 0.2580 0.5000 0.2532  3 Np 3.12, 1 Th 3.18, 2 Nd 3.19
Sb3 0.7420 0.5000 0.7468  3 Np 3.12, 1 Th 3.18, 2 Nd 3.19
Sb4 0.7429 0.0000 0.2475  3 Np 3.13, 1 Nd 3.18, 2 Th 3.19


[12]
This record from Alexandria describes a relaxed structure of TcSnAu2S. The functional is GGA-PBE.

Calculated values
* ΔE_f (raw): 0.571 eV per atom

abc: 4.9141 4.9141 4.4048
angles: 90.00 90.00 90.00
Last column: nearest neighbours and their distance in Å.
Fractional positions:
Tc1 0.0000 0.0000 0.0000  2 S 2.20
Sn1 0.5000 0.5000 0.0000  8 Au 3.30, 4 Tc 3.47
Au1 0.0000 0.5000 0.5000  2 S 2.46
Au2 0.5000 0.0000 0.5000  2 S 2.46
S1 0.0000 0.0000 0.5000  2 Tc 2.20, 4 Au 2.46


Taking the records one at a time from the top gives DFT total energy values of -4.61 -6.68 -4.30 -3.83 -4.48 -1.43 -2.50 -3.33 -1.91 -3.06 -7.44 -4.44 eV per atom.